Crystalline Dy3Er5In at its relaxed geometry, computed with PBE.

The volume comes out at 35.54 A^3/atom. The calculation puts the magnetization at 0.0 μB per formula unit. Its crystal system is monoclinic. For the total DFT energy (no corrections), the calculation gives -71.82 eV per cell. For the density of states at the Fermi level, the calculation gives 28.43 states/eV/cell.

Cell lengths 8.201, 8.201, 12.850 Å; angles 60.89, 60.89, 87.09 degrees
Positions (direct):
1 Er 0.658 0.658 0.592
2 Er 0.865 0.350 0.207
3 Er 0.732 0.268 0.000
4 Er 0.350 0.865 0.207
5 Er 0.650 0.135 0.793
6 Er 0.135 0.650 0.793
7 Er 0.268 0.732 0.000
8 Er 0.342 0.342 0.408
9 Er 0.320 0.320 0.943
10 Er 0.680 0.680 0.057
11 In 0.033 0.033 0.732
12 In 0.967 0.967 0.268
13 Dy 0.670 0.670 0.328
14 Dy 0.688 0.688 0.814
15 Dy 0.330 0.330 0.672
16 Dy 0.312 0.312 0.186
17 Dy 0.000 0.000 0.000
18 Dy 0.000 0.000 0.500

***

Crystalline DyErIn2 at its relaxed geometry, computed with PBE.

The volume comes out at 26.30 A^3/atom. The calculation puts the magnetization at 0.0 μB per formula unit. Its crystal system is tetragonal. For the total DFT energy (no corrections), the calculation gives -16.46 eV per cell. For the density of states at the Fermi level, the calculation gives 2.33 states/eV/cell.

Cell lengths 3.744, 3.744, 7.506 Å; angles 90.00, 90.00, 90.00 degrees
Positions (direct):
1 In 0.000 0.000 0.753
2 In 0.000 0.000 0.247
3 Dy 0.500 0.500 0.500
4 Er 0.500 0.500 0.000

***

Crystalline Dy8Er6In at its relaxed geometry, computed with PBE.

The volume comes out at 31.30 A^3/atom. The calculation puts the magnetization at 0.0 μB per formula unit. Its crystal system is trigonal. Its relative energy among the computed polymorphs is 64 meV/atom. For the total DFT energy (no corrections), the calculation gives -65.57 eV per cell. For the density of states at the Fermi level, the calculation gives 17.97 states/eV/cell.

Cell lengths 6.303, 9.274, 9.274 Å; angles 120.00, 90.00, 90.00 degrees
Positions (direct):
1 Er 0.679 0.643 0.094
2 Er 0.321 0.357 0.906
3 Er 0.679 0.906 0.548
4 Er 0.321 0.094 0.452
5 Er 0.321 0.548 0.643
6 Er 0.679 0.452 0.357
7 Dy 0.815 0.333 0.667
8 Dy 0.815 0.731 0.772
9 Dy 0.185 0.772 0.040
10 Dy 0.185 0.667 0.333
11 Dy 0.815 0.228 0.960
12 Dy 0.185 0.269 0.228
13 Dy 0.185 0.960 0.731
14 Dy 0.815 0.040 0.269
15 In 0.500 0.000 0.000

***

Crystalline Dy6Er2In at its relaxed geometry, computed with PBE.

The volume comes out at 30.76 A^3/atom. The calculation puts the magnetization at 0.0 μB per formula unit. Its crystal system is orthorhombic. Its relative energy among the computed polymorphs is 0 meV/atom. For the total DFT energy (no corrections), the calculation gives -39.57 eV per cell. For the density of states at the Fermi level, the calculation gives 11.62 states/eV/cell.

Cell lengths 3.464, 10.115, 9.541 Å; angles 122.01, 100.46, 90.00 degrees
Positions (direct):
1 Er 0.156 0.655 0.310
2 Er 0.844 0.345 0.690
3 Dy 0.500 0.306 0.000
4 Dy 0.176 0.014 0.353
5 Dy 0.176 0.340 0.353
6 Dy 0.500 0.694 0.000
7 Dy 0.824 0.986 0.647
8 Dy 0.824 0.660 0.647
9 In 0.000 0.000 0.000

***

Crystalline Dy3Er5In2 at its relaxed geometry, computed with PBE.

The volume comes out at 30.94 A^3/atom. The calculation puts the magnetization at 0.0 μB per formula unit. Its crystal system is orthorhombic. For the total DFT energy (no corrections), the calculation gives -82.16 eV per cell. For the density of states at the Fermi level, the calculation gives 24.95 states/eV/cell.

Cell lengths 6.299, 10.501, 10.501 Å; angles 95.50, 72.55, 72.55 degrees
Positions (direct):
1 In 0.364 0.989 0.283
2 In 0.636 0.011 0.717
3 In 0.136 0.717 0.011
4 In 0.864 0.283 0.989
5 Dy 0.112 0.118 0.657
6 Dy 0.750 0.000 0.000
7 Dy 0.388 0.343 0.882
8 Dy 0.888 0.882 0.343
9 Dy 0.612 0.657 0.118
10 Dy 0.250 0.000 0.000
11 Er 0.499 0.251 0.251
12 Er 0.750 0.500 0.500
13 Er 0.376 0.788 0.460
14 Er 0.624 0.212 0.540
15 Er 0.250 0.500 0.500
16 Er 0.001 0.749 0.749
17 Er 0.876 0.460 0.788
18 Er 0.999 0.251 0.251
19 Er 0.501 0.749 0.749
20 Er 0.124 0.540 0.212

***

Crystalline Dy4Er7In at its relaxed geometry, computed with PBE.

The volume comes out at 31.29 A^3/atom. The calculation puts the magnetization at 0.0 μB per formula unit. Its crystal system is monoclinic. Its relative energy among the computed polymorphs is 0 meV/atom. For the total DFT energy (no corrections), the calculation gives -52.71 eV per cell. For the density of states at the Fermi level, the calculation gives 18.15 states/eV/cell.

Cell lengths 6.311, 5.481, 11.387 Å; angles 76.06, 79.47, 90.00 degrees
Positions (direct):
1 Er 0.567 0.210 0.579
2 Er 0.190 0.453 0.094
3 Er 0.500 0.000 0.000
4 Er 0.810 0.547 0.906
5 Er 0.433 0.790 0.421
6 Er 0.003 0.136 0.728
7 Er 0.997 0.864 0.272
8 Dy 0.892 0.709 0.583
9 Dy 0.349 0.616 0.767
10 Dy 0.651 0.384 0.233
11 Dy 0.108 0.291 0.417
12 In 0.000 0.000 0.000

***

Crystalline Dy4ErIn at its relaxed geometry, computed with PBE.

The volume comes out at 29.96 A^3/atom. The calculation puts the magnetization at 0.0 μB per formula unit. Its crystal system is tetragonal. Its relative energy among the computed polymorphs is 0 meV/atom. For the total DFT energy (no corrections), the calculation gives -26.60 eV per cell. For the density of states at the Fermi level, the calculation gives 6.49 states/eV/cell.

Cell lengths 3.551, 3.551, 14.255 Å; angles 90.00, 90.00, 90.00 degrees
Positions (direct):
1 Dy 0.000 0.000 0.649
2 Dy 0.500 0.500 0.826
3 Dy 0.500 0.500 0.174
4 Dy 0.000 0.000 0.351
5 In 0.500 0.500 0.500
6 Er 0.000 0.000 0.000

***

Crystalline Dy14ErIn at its relaxed geometry, computed with PBE.

The volume comes out at 30.72 A^3/atom. The calculation puts the magnetization at 0.0 μB per formula unit. Its crystal system is tetragonal. For the total DFT energy (no corrections), the calculation gives -72.22 eV per cell. For the density of states at the Fermi level, the calculation gives 22.43 states/eV/cell.

Cell lengths 7.021, 7.021, 9.972 Å; angles 90.00, 90.00, 90.00 degrees
Positions (direct):
1 Dy 0.125 0.375 0.247
2 Dy 0.875 0.625 0.500
3 Dy 0.625 0.375 0.248
4 Dy 0.125 0.875 0.753
5 Dy 0.625 0.875 0.247
6 Dy 0.125 0.375 0.753
7 Dy 0.875 0.625 0.000
8 Dy 0.625 0.375 0.752
9 Dy 0.625 0.875 0.753
10 Dy 0.375 0.125 0.500
11 Dy 0.375 0.625 0.500
12 Dy 0.375 0.125 0.000
13 Dy 0.125 0.875 0.247
14 Dy 0.875 0.125 0.500
15 In 0.875 0.125 0.000
16 Er 0.375 0.625 0.000

***

Crystalline Dy2Er7In at its relaxed geometry, computed with PBE.

The volume comes out at 36.63 A^3/atom. The calculation puts the magnetization at 0.0 μB per formula unit. Its crystal system is orthorhombic. For the total DFT energy (no corrections), the calculation gives -37.87 eV per cell. For the density of states at the Fermi level, the calculation gives 9.35 states/eV/cell.

Cell lengths 5.238, 9.191, 9.191 Å; angles 124.13, 90.00, 90.00 degrees
Positions (direct):
1 Dy 0.500 0.707 0.293
2 Dy 0.500 0.293 0.707
3 Er 0.500 0.072 0.282
4 Er 0.500 0.718 0.928
5 Er 0.000 0.802 0.198
6 Er 0.500 0.928 0.718
7 Er 0.500 0.282 0.072
8 Er 0.000 0.198 0.802
9 Er 0.500 0.500 0.500
10 In 0.000 0.000 0.000

***

Crystalline DyEr5In3 at its relaxed geometry, computed with PBE.

The volume comes out at 27.63 A^3/atom. The calculation puts the magnetization at 0.0 μB per formula unit. Its crystal system is hexagonal. For the total DFT energy (no corrections), the calculation gives -77.58 eV per cell. For the density of states at the Fermi level, the calculation gives 18.95 states/eV/cell.

Cell lengths 6.685, 9.269, 9.269 Å; angles 120.00, 90.00, 90.00 degrees
Positions (direct):
1 In 0.250 0.000 0.334
2 In 0.750 0.000 0.666
3 In 0.750 0.334 0.334
4 In 0.750 0.666 0.000
5 In 0.250 0.666 0.666
6 In 0.250 0.334 0.000
7 Er 0.250 0.000 0.667
8 Er 0.500 0.333 0.667
9 Er 0.500 0.667 0.333
10 Er 0.750 0.667 0.667
11 Er 0.250 0.667 0.000
12 Er 0.000 0.667 0.333
13 Er 0.000 0.333 0.667
14 Er 0.750 0.333 0.000
15 Er 0.250 0.333 0.333
16 Er 0.750 0.000 0.333
17 Dy 0.500 0.000 0.000
18 Dy 0.000 0.000 0.000

***

Question: Which value of magnetization does entry 2 give?
Answer: 0.0 μB per formula unit

***

Question: Number 1 is which compound?
Answer: Dy3Er5In

***

Question: Which value of volume does entry 8 give?
Answer: 30.72 A^3/atom